Entry 1:
Below is an optimized crystal structure of Nd12Tl6Sn, with properties calculated at the PBE-GGA level.

Summary:
* magnetic moment: 0.00 μB/f.u.
* formation energy from the elements: -0.14 eV/atom
* raw total energy: -4.113 eV per atom

Unit cell a=14.7440 b=14.7440 c=9.8763 alpha=90.00 beta=90.00 gamma=120.00
Space group R-3 (No. 148, hexagonal axes)
One atom of each set of equivalent atoms:
1 Nd 0.0534 0.1868 0.2594 [18 per cell]
2 Nd 0.0537 0.2597 0.9165 [18 per cell]
3 Tl 0.0674 0.2416 0.5751 [18 per cell]
4 Sn 0.0000 0.0000 0.0000 [3 per cell]


Entry 2:
Below is an optimized crystal structure of Nd12Tl5Sn3, with properties calculated at the PBE-GGA level.

Summary:
* magnetic moment: 0.00 μB/f.u.
* formation energy from the elements: 0.00 eV/atom
* raw total energy: -4.055 eV per atom

Unit cell a=18.3938 b=18.3938 c=18.3938 alpha=90.00 beta=90.00 gamma=90.00
Space group Ia-3d (No. 230)
One atom of each set of equivalent atoms:
1 Nd 0.0137 0.0730 0.6505 [96 per cell]
2 Tl 0.0000 0.0000 0.0000 [16 per cell]
3 Tl 0.0000 0.2500 0.3750 [24 per cell]
4 Sn 0.0000 0.2500 0.1250 [24 per cell]


Entry 3:
Below is an optimized crystal structure of Nd7TlSn5, with properties calculated at the PBE-GGA level.

Summary:
* magnetic moment: 0.00 μB/f.u.
* formation energy from the elements: -0.48 eV/atom
* raw total energy: -4.768 eV per atom

Unit cell a=6.4282 b=11.5630 c=10.8743 alpha=90.00 beta=90.00 gamma=90.00
Space group Imm2 (No. 44)
One atom of each set of equivalent atoms:
1 Nd 0.0000 0.0000 0.0000 [2 per cell]
2 Nd 0.0000 0.0000 0.3787 [2 per cell]
3 Nd 0.0000 0.3330 0.6253 [4 per cell]
4 Nd 0.0000 0.3355 0.1074 [4 per cell]
5 Nd 0.0000 0.5000 0.3489 [2 per cell]
6 Tl 0.0000 0.0000 0.6825 [2 per cell]
7 Sn 0.0000 0.5000 0.8636 [2 per cell]
8 Sn 0.2494 0.2581 0.3711 [8 per cell]


Entry 4:
Below is an optimized crystal structure of Nd7Tl2Sn2, with properties calculated at the PBE-GGA level.

Summary:
* magnetic moment: 0.00 μB/f.u.
* formation energy from the elements: -0.21 eV/atom
* raw total energy: -4.407 eV per atom

Unit cell a=8.3937 b=11.5155 c=7.8760 alpha=90.00 beta=90.00 gamma=90.00
Space group Cmmm (No. 65)
One atom of each set of equivalent atoms:
1 Nd 0.0000 0.0000 0.0000 [2 per cell]
2 Nd 0.0000 0.5000 0.2642 [4 per cell]
3 Nd 0.2500 0.2500 0.2864 [8 per cell]
4 Tl 0.1759 0.0000 0.5000 [4 per cell]
5 Sn 0.0000 0.2881 0.0000 [4 per cell]


Entry 5:
Below is an optimized crystal structure of Nd6Tl5Sn, with properties calculated at the PBE-GGA level.

Summary:
* magnetic moment: 0.00 μB/f.u.
* formation energy from the elements: -0.44 eV/atom
* raw total energy: -4.145 eV per atom

Unit cell a=5.5255 b=16.6220 c=7.7487 alpha=90.00 beta=90.00 gamma=90.00
Space group Cmmm (No. 65)
One atom of each set of equivalent atoms:
1 Nd 0.0000 0.0000 0.2448 [4 per cell]
2 Nd 0.0000 0.3356 0.2510 [8 per cell]
3 Tl 0.0000 0.1664 0.5000 [4 per cell]
4 Tl 0.0000 0.1723 0.0000 [4 per cell]
5 Tl 0.0000 0.5000 0.5000 [2 per cell]
6 Sn 0.0000 0.5000 0.0000 [2 per cell]


Entry 6:
Below is an optimized crystal structure of Nd2TlSn, with properties calculated at the PBE-GGA level.

Summary:
* magnetic moment: 0.00 μB/f.u.
* formation energy from the elements: -0.55 eV/atom
* raw total energy: -4.524 eV per atom

Unit cell a=5.1467 b=5.1467 c=4.4181 alpha=90.00 beta=90.00 gamma=90.00
Space group P4/mmm (No. 123)
One atom of each set of equivalent atoms:
1 Nd 0.0000 0.5000 0.0000 [2 per cell]
2 Tl 0.0000 0.0000 0.5000 [1 per cell]
3 Sn 0.5000 0.5000 0.5000 [1 per cell]


Number 1: calculated density 8.2 g cm⁻³. Number 2: calculated density 6.6 g cm⁻³. Number 3: calculated density 7.4 g cm⁻³. Number 4: calculated density 7.2 g cm⁻³. Number 5: calculated density 9.4 g cm⁻³. Number 6: calculated density 8.7 g cm⁻³.